# La2Pm3Rh4 PBE optimized geometry
data_La2Pm3Rh4
_chemical_formula_sum 'La8 Pm12 Rh16'
_symmetry_space_group_name_H-M 'C m c e'
_symmetry_Int_Tables_number 64
_symmetry_space_group_name_Hall '-C 2ac 2'
_cell_length_a 6.761
_cell_length_b 16.706
_cell_length_c 7.934
_cell_angle_alpha 90.00
_cell_angle_beta 90.00
_cell_angle_gamma 90.00
loop_
_atom_site_label
_atom_site_type_symbol
_atom_site_fract_x
_atom_site_fract_y
_atom_site_fract_z
La1 La 0.000 0.099 0.101
Pm1 Pm 0.000 0.000 0.500
Pm2 Pm 0.250 0.216 0.750
Rh1 Rh 0.000 0.178 0.437
Rh2 Rh 0.250 0.047 0.750
# E: -6.50 eV per atom



# LaPmRh4 PBE optimized geometry
data_LaPmRh4
_chemical_formula_sum 'La4 Pm4 Rh16'
_symmetry_space_group_name_H-M 'F -4 3 m'
_symmetry_Int_Tables_number 216
_symmetry_space_group_name_Hall 'F -4 2 3'
_cell_length_a 7.671
_cell_length_b 7.671
_cell_length_c 7.671
_cell_angle_alpha 90.00
_cell_angle_beta 90.00
_cell_angle_gamma 90.00
loop_
_atom_site_label
_atom_site_type_symbol
_atom_site_fract_x
_atom_site_fract_y
_atom_site_fract_z
La1 La 0.000 0.000 0.000
Pm1 Pm 0.250 0.250 0.750
Rh1 Rh 0.125 0.125 0.375
# E: -7.19 eV per atom



# La2Pm6Rh PBE optimized geometry
data_La2Pm6Rh
_chemical_formula_sum 'La4 Pm12 Rh2'
_symmetry_space_group_name_H-M 'C 1 2/m 1'
_symmetry_Int_Tables_number 12
_symmetry_space_group_name_Hall '-C 2y'
_cell_length_a 17.751
_cell_length_b 9.503
_cell_length_c 3.715
_cell_angle_alpha 90.00
_cell_angle_beta 90.31
_cell_angle_gamma 90.00
loop_
_atom_site_label
_atom_site_type_symbol
_atom_site_fract_x
_atom_site_fract_y
_atom_site_fract_z
La1 La 0.167 0.000 0.495
Pm1 Pm 0.000 0.287 0.500
Pm2 Pm 0.168 0.334 0.002
Rh1 Rh 0.000 0.500 0.000
# E: -5.07 eV per atom



# La2Pm3Rh3 PBE optimized geometry
data_La2Pm3Rh3
_chemical_formula_sum 'La4 Pm6 Rh6'
_symmetry_space_group_name_H-M 'P 1'
_symmetry_Int_Tables_number 1
_symmetry_space_group_name_Hall 'P 1'
_cell_length_a 5.803
_cell_length_b 5.900
_cell_length_c 14.046
_cell_angle_alpha 88.41
_cell_angle_beta 89.69
_cell_angle_gamma 72.29
loop_
_atom_site_label
_atom_site_type_symbol
_atom_site_fract_x
_atom_site_fract_y
_atom_site_fract_z
La1 La 0.000 0.000 0.000
La2 La 0.005 0.013 0.644
La3 La 0.432 0.178 0.448
La4 La 0.808 0.541 0.153
Pm1 Pm 0.059 0.843 0.323
Pm2 Pm 0.380 0.413 0.957
Pm3 Pm 0.381 0.415 0.693
Pm4 Pm 0.430 0.128 0.185
Pm5 Pm 0.750 0.719 0.822
Pm6 Pm 0.806 0.576 0.509
Rh1 Rh 0.223 0.801 0.823
Rh2 Rh 0.276 0.659 0.509
Rh3 Rh 0.277 0.641 0.143
Rh4 Rh 0.532 0.918 0.640
Rh5 Rh 0.534 0.895 0.005
Rh6 Rh 0.583 0.768 0.329
# E: -6.28 eV per atom



# LaPm3Rh4 PBE optimized geometry
data_LaPm3Rh4
_chemical_formula_sum 'La3 Pm9 Rh12'
_symmetry_space_group_name_H-M 'R -3 m'
_symmetry_Int_Tables_number 166
_symmetry_space_group_name_Hall '-R 3 2"'
_cell_length_a 4.9982
_cell_length_b 4.9982
_cell_length_c 24.5611
_cell_angle_alpha 90.00
_cell_angle_beta 90.00
_cell_angle_gamma 120.00
loop_
_atom_site_label
_atom_site_type_symbol
_atom_site_fract_x
_atom_site_fract_y
_atom_site_fract_z
La1 La 0.0000 0.0000 0.0000
Pm1 Pm 0.0000 0.0000 0.2489
Pm2 Pm 0.0000 0.0000 0.5000
Rh1 Rh 0.0000 0.0000 0.1259
Rh2 Rh 0.0000 0.0000 0.3759
# E: -6.75 eV per atom



# La3Pm3Rh2 PBE optimized geometry
data_La3Pm3Rh2
_chemical_formula_sum 'La12 Pm12 Rh8'
_symmetry_space_group_name_H-M 'C m c m'
_symmetry_Int_Tables_number 63
_symmetry_space_group_name_Hall '-C 2c 2'
_cell_length_a 5.188
_cell_length_b 12.325
_cell_length_c 15.030
_cell_angle_alpha 90.00
_cell_angle_beta 90.00
_cell_angle_gamma 90.00
loop_
_atom_site_label
_atom_site_type_symbol
_atom_site_fract_x
_atom_site_fract_y
_atom_site_fract_z
La1 La 0.000 0.047 0.118
La2 La 0.000 0.370 0.250
Pm1 Pm 0.000 0.330 0.750
Pm2 Pm 0.000 0.347 0.017
Rh1 Rh 0.000 0.173 0.610
# E: -5.85 eV per atom



# LaPm7Rh2 PBE optimized geometry
data_LaPm7Rh2
_chemical_formula_sum 'La2 Pm14 Rh4'
_symmetry_space_group_name_H-M 'C m m m'
_symmetry_Int_Tables_number 65
_symmetry_space_group_name_Hall '-C 2 2'
_cell_length_a 8.828
_cell_length_b 14.560
_cell_length_c 5.470
_cell_angle_alpha 90.00
_cell_angle_beta 90.00
_cell_angle_gamma 90.00
loop_
_atom_site_label
_atom_site_type_symbol
_atom_site_fract_x
_atom_site_fract_y
_atom_site_fract_z
La1 La 0.000 0.000 0.000
Pm1 Pm 0.000 0.293 0.000
Pm2 Pm 0.000 0.500 0.500
Pm3 Pm 0.191 0.133 0.500
Rh1 Rh 0.000 0.298 0.500
# E: -5.40 eV per atom



# LaPm2Rh2 PBE optimized geometry
data_LaPm2Rh2
_chemical_formula_sum 'La4 Pm8 Rh8'
_symmetry_space_group_name_H-M 'C m c m'
_symmetry_Int_Tables_number 63
_symmetry_space_group_name_Hall '-C 2c 2'
_cell_length_a 3.968
_cell_length_b 13.417
_cell_length_c 10.116
_cell_angle_alpha 90.00
_cell_angle_beta 90.00
_cell_angle_gamma 90.00
loop_
_atom_site_label
_atom_site_type_symbol
_atom_site_fract_x
_atom_site_fract_y
_atom_site_fract_z
La1 La 0.000 0.095 0.250
Pm1 Pm 0.000 0.355 0.069
Rh1 Rh 0.000 0.000 0.000
Rh2 Rh 0.000 0.251 0.750
# energy above the lowest structure with this stoichiometry: 0.05 eV/f.u.



Number 1: DOS(E_F) 0.670 states/eV per atom, total moment 0.00 μB per atom. Number 2: DOS(E_F) 0.564 states/eV per atom, total moment 0.00 μB per atom. Number 3: DOS(E_F) 1.406 states/eV per atom, total moment 0.00 μB per atom. Number 4: DOS(E_F) 0.592 states/eV per atom, total moment 0.00 μB per atom. Number 5: DOS(E_F) 0.771 states/eV per atom, total moment 0.00 μB per atom. Number 6: DOS(E_F) 0.984 states/eV per atom, total moment 0.00 μB per atom. Number 7: DOS(E_F) 1.328 states/eV per atom, total moment 0.00 μB per atom. Number 8: DOS(E_F) 0.609 states/eV per atom, total moment 0.00 μB per atom.